The following is a DFT calculation (PBE-GGA) of a relaxed structure of KBC.

Results
Crystal system = triclinic
M_tot = 0.000 μB per formula unit
Calculated formation energy = 10.7 kcal/mol of atoms

a = 3.058 Å, b = 4.871 Å, c = 5.568 Å
α = 89.70°, β = 74.41°, γ = 90.00°
Space group P1 (No. 1)
One atom of each set of equivalent atoms:
K 0.000 0.000 0.000 x1
K 0.247 0.996 0.493 x1
B 0.416 0.498 0.166 x1
B 0.573 0.499 0.847 x1
C 0.703 0.497 0.585 x1
C 0.834 0.498 0.319 x1

***

The following is a DFT calculation (PBE-GGA) of a relaxed structure of Zn2NiSb.

Results
Crystal system = tetragonal
Energy = -12.1 eV for the cell shown
M_tot = 0.000 μB per formula unit

a = 3.555 Å, b = 3.555 Å, c = 5.237 Å
α = 90.00°, β = 90.00°, γ = 90.00°
Space group P4/mmm (No. 123)
One atom of each set of equivalent atoms:
Zn 0.000 0.000 0.227 x2
Ni 0.500 0.500 0.000 x1
Sb 0.500 0.500 0.500 x1

***

The following is a DFT calculation (PBE-GGA) of a relaxed structure of LiNbSb2.

Results
Crystal system = trigonal
M_tot = 0.000 μB per formula unit
Energy relative to the lowest polymorph listed for this composition = 0 kJ/mol of formula units

a = 3.4710 Å, b = 3.4710 Å, c = 25.8729 Å
α = 90.00°, β = 90.00°, γ = 120.00°
Space group R3m (No. 160, hexagonal axes)
One atom of each set of equivalent atoms:
Li 0.0000 0.0000 0.0000 x3
Nb 0.0000 0.0000 0.1628 x3
Sb 0.0000 0.0000 0.5749 x3
Sb 0.0000 0.0000 0.7518 x3

***

The following is a DFT calculation (PBE-GGA) of a relaxed structure of U3Tl3CuS8.

Results
Crystal system = monoclinic
Energy = -183.7 eV for the cell shown
M_tot = 6.000 μB per formula unit

a = 13.498 Å, b = 7.807 Å, c = 8.873 Å
α = 90.00°, β = 120.45°, γ = 90.00°
Space group C2/m (No. 12)
One atom of each set of equivalent atoms:
U 0.000 0.000 0.000 x2
U 0.250 0.250 0.000 x4
Tl 0.000 0.500 0.500 x2
Tl 0.250 0.250 0.500 x4
Cu 0.000 0.500 0.000 x2
S 0.020 0.250 0.811 x8
S 0.229 0.500 0.188 x4
S 0.234 0.000 0.201 x4

***

The following is a DFT calculation (PBE-GGA) of a relaxed structure of YCdAsF2.

Results
Crystal system = tetragonal
Energy = -22.5 eV for the cell shown
M_tot = 0.000 μB per formula unit

a = 4.143 Å, b = 4.143 Å, c = 8.998 Å
α = 90.00°, β = 90.00°, γ = 90.00°
Space group P4/mmm (No. 123)
One atom of each set of equivalent atoms:
Y 0.000 0.000 0.000 x1
Cd 0.000 0.000 0.500 x1
As 0.500 0.500 0.000 x1
F 0.000 0.500 0.500 x2

***

The following is a DFT calculation (PBE-GGA) of a relaxed structure of TaGaFe.

Results
Crystal system = tetragonal
M_tot = 0.261 μB per formula unit
Calculated formation energy = -3.2 kcal/mol of atoms

a = 2.983 Å, b = 2.983 Å, c = 9.648 Å
α = 90.00°, β = 90.00°, γ = 90.00°
Space group I4mm (No. 107)
One atom of each set of equivalent atoms:
Ta 0.000 0.000 0.000 x2
Ga 0.000 0.000 0.698 x2
Fe 0.000 0.000 0.346 x2

***

The following is a DFT calculation (PBE-GGA) of a relaxed structure of FeMoCl2.

Results
Crystal system = cubic
M_tot = 0.000 μB per formula unit
Energy relative to the lowest polymorph listed for this composition = 419 kJ/mol of formula units

a = 6.036 Å, b = 6.036 Å, c = 6.036 Å
α = 90.00°, β = 90.00°, γ = 90.00°
Space group Fm-3m (No. 225)
One atom of each set of equivalent atoms:
Fe 0.000 0.000 0.000 x4
Mo 0.000 0.000 0.500 x4
Cl 0.250 0.250 0.250 x8

***

The following is a DFT calculation (PBE-GGA) of a relaxed structure of ZrMn2ReGe.

Results
Crystal system = tetragonal
M_tot = 5.469 μB per formula unit
Calculated formation energy = 18.8 kcal/mol of atoms

a = 4.647 Å, b = 4.647 Å, c = 4.678 Å
α = 90.00°, β = 90.00°, γ = 90.00°
Space group P4/mmm (No. 123)
One atom of each set of equivalent atoms:
Zr 0.000 0.000 0.000 x1
Mn 0.000 0.500 0.500 x2
Re 0.500 0.500 0.500 x1
Ge 0.500 0.500 0.000 x1

***

> What is the formula in the fifth record?

YCdAsF2